La2BiO after structural relaxation. Source: Alexandria via LeMat-Bulk, functional PBE.

a b c (Å): 7.4350 7.4350 8.2382
angles (deg): 90.00 90.00 90.00
Last column: nearest neighbours and their distance in Å.
Space group I-42d (No. 122)
Symmetry-distinct sites (fractional):
1 La 0.1445 0.7500 0.1250  2 O 2.38
2 Bi 0.0000 0.0000 0.5000  8 La 3.39-3.76
3 O 0.0000 0.0000 0.0000  4 La 2.38

Results
The volume is 28.46 Å³ per atom. For the energy above the most stable polymorph in this dataset, the calculation gives 0.000 eV per formula unit.